HoGa2Cu4, relaxed, DFT PBE; Fermi-level density of states = 0.615 states/eV per atom; E_form = -0.25 eV per atom; SG = R-3m; VASP energy = -28.77 eV/cell; distance to the lowest polymorph of the same formula = 2.4 kJ/mol of atoms; density = 8.4 g cm⁻³
1.0
-1.953 -3.197 -1.790
1.207 -3.888 0.812
-4.974 -2.647 5.336
Ho Ga Cu
1 2 4
Direct
0.000 0.000 0.000 Ho
0.254 0.254 0.239 Ga
0.746 0.746 0.761 Ga
0.440 0.440 0.679 Cu
0.141 0.141 0.578 Cu
0.560 0.560 0.321 Cu
0.859 0.859 0.422 Cu

***

Sc2BeH, relaxed, DFT PBE; Fermi-level density of states = 1.061 states/eV per atom; SG = I-42d; VASP energy = -39.71 eV/cell; distance to the lowest polymorph of the same formula = 0.0 kJ/mol of atoms; density = 2.7 g cm⁻³
1.0
-1.142 -5.058 3.138
3.737 -3.096 -3.630
3.818 -3.396 1.768
Sc Be H
4 2 2
Direct
0.543 0.125 0.250 Sc
0.207 0.625 0.250 Sc
0.375 0.457 0.750 Sc
0.875 0.793 0.750 Sc
0.000 0.000 0.000 Be
0.750 0.250 0.500 Be
0.500 0.500 0.000 H
0.250 0.750 0.500 H

***

La15Sm4Tl, relaxed, DFT PBE; Fermi-level density of states = 1.518 states/eV per atom; E_form = -0.03 eV per atom; SG = P4/mmm; VASP energy = -95.83 eV/cell; density = 6.8 g cm⁻³
1.0
-2.598 2.489 -3.743
2.477 -2.815 -3.591
-18.914 -18.067 1.115
La Sm Tl
15 4 1
Direct
0.500 0.500 0.000 La
0.500 0.500 0.199 La
0.500 0.500 0.399 La
0.500 0.500 0.601 La
0.500 0.500 0.801 La
0.500 0.000 0.097 La
0.500 0.000 0.298 La
0.500 0.000 0.500 La
0.500 0.000 0.702 La
0.500 0.000 0.903 La
0.000 0.500 0.097 La
0.000 0.500 0.298 La
0.000 0.500 0.500 La
0.000 0.500 0.702 La
0.000 0.500 0.903 La
0.000 0.000 0.197 Sm
0.000 0.000 0.400 Sm
0.000 0.000 0.600 Sm
0.000 0.000 0.803 Sm
0.000 0.000 0.000 Tl

***

no.,spin magnetization (μB per cell)
1,0.0
2,0.0
3,0.0